Compound: SrHgPbBr6
Source: Alexandria via LeMat-Bulk
Functional: PBE
Structure: optimized geometry

a = 7.4857 Å, b = 7.4857 Å, c = 13.4363 Å
α = 90.00°, β = 90.00°, γ = 120.00°
Last column: nearest neighbours and their distance in Å.
Fractional positions:
1 Sr 0.0000 0.0000 0.0000  6 Br 3.10
2 Sr 0.0000 0.0000 0.5000  6 Br 3.10
3 Hg 0.3333 0.6667 0.2500  6 Br 2.87
4 Hg 0.6667 0.3333 0.7500  6 Br 2.87
5 Pb 0.3333 0.6667 0.7500  6 Br 3.05
6 Pb 0.6667 0.3333 0.2500  6 Br 3.05
7 Br 0.0189 0.3566 0.1261  1 Hg 2.87, 1 Pb 3.05, 1 Sr 3.10
8 Br 0.0189 0.6622 0.3739  1 Hg 2.87, 1 Pb 3.05, 1 Sr 3.10
9 Br 0.3378 0.3566 0.3739  1 Hg 2.87, 1 Pb 3.05, 1 Sr 3.10
10 Br 0.3378 0.9811 0.1261  1 Hg 2.87, 1 Pb 3.05, 1 Sr 3.10
11 Br 0.3566 0.0189 0.6261  1 Hg 2.87, 1 Pb 3.05, 1 Sr 3.10
12 Br 0.3566 0.3378 0.8739  1 Hg 2.87, 1 Pb 3.05, 1 Sr 3.10
13 Br 0.6434 0.6622 0.1261  1 Hg 2.87, 1 Pb 3.05, 1 Sr 3.10
14 Br 0.6434 0.9811 0.3739  1 Hg 2.87, 1 Pb 3.05, 1 Sr 3.10
15 Br 0.6622 0.0189 0.8739  1 Hg 2.87, 1 Pb 3.05, 1 Sr 3.10
16 Br 0.6622 0.6434 0.6261  1 Hg 2.87, 1 Pb 3.05, 1 Sr 3.10
17 Br 0.9811 0.3378 0.6261  1 Hg 2.87, 1 Pb 3.05, 1 Sr 3.10
18 Br 0.9811 0.6434 0.8739  1 Hg 2.87, 1 Pb 3.05, 1 Sr 3.10

Calculated values
Total magnetization   0.00 μB/f.u.
Uncorrected formation energy   -1.115 eV per atom



Compound: Pm3Sm7Y
Source: Alexandria via LeMat-Bulk
Functional: PBE
Structure: optimized geometry

a = 7.0849 Å, b = 5.6523 Å, c = 10.1179 Å
α = 90.00°, β = 110.26°, γ = 90.00°
Last column: nearest neighbours and their distance in Å.
Fractional positions:
1 Pm 0.0000 0.0000 0.0000  2 Y 3.54, 10 Sm 3.60-3.88
2 Pm 0.2816 0.5000 0.4997  1 Pm 3.09, 4 Sm 3.40-3.46
3 Pm 0.7184 0.5000 0.5003  1 Pm 3.09, 4 Sm 3.40-3.46
4 Sm 0.0000 0.0000 0.5000  4 Pm 3.46
5 Sm 0.1441 0.5000 0.7899  3 Sm 3.30-3.62, 2 Pm 3.40
6 Sm 0.3222 0.5000 0.1375  5 Sm 3.30-3.62, 2 Y 3.57, 2 Pm 3.60
7 Sm 0.4158 0.0000 0.3289  3 Sm 3.25-3.36, 1 Y 3.58, 5 Pm 3.60-3.61
8 Sm 0.5842 0.0000 0.6711  3 Sm 3.25-3.36, 1 Y 3.58, 5 Pm 3.60-3.61
9 Sm 0.6778 0.5000 0.8625  5 Sm 3.30-3.62, 2 Y 3.57, 2 Pm 3.60
10 Sm 0.8559 0.5000 0.2101  3 Sm 3.30-3.62, 2 Pm 3.40
11 Y 0.5000 0.0000 0.0000  2 Pm 3.54, 10 Sm 3.57-3.89

Calculated values
Total magnetization   0.00 μB/f.u.
ΔE to the lowest computed polymorph   0 meV per atom
ΔE_f   122 meV/atom



Compound: Nd4ErSb2
Source: Alexandria via LeMat-Bulk
Functional: PBE
Structure: optimized geometry

a = 5.4116 Å, b = 5.4116 Å, c = 16.9941 Å
α = 90.00°, β = 90.00°, γ = 90.00°
Last column: nearest neighbours and their distance in Å.
Fractional positions:
1 Nd 0.0000 0.0000 0.1838  1 Sb 3.11, 1 Er 3.12
2 Nd 0.0000 0.0000 0.8162  1 Sb 3.11, 1 Er 3.12
3 Nd 0.0000 0.5000 0.0000  2 Er 2.71
4 Nd 0.0000 0.5000 0.5000  2 Er 2.71
5 Nd 0.5000 0.0000 0.0000  2 Er 2.71
6 Nd 0.5000 0.0000 0.5000  2 Er 2.71
7 Nd 0.5000 0.5000 0.3162  1 Sb 3.11, 1 Er 3.12
8 Nd 0.5000 0.5000 0.6838  1 Sb 3.11, 1 Er 3.12
9 Er 0.0000 0.0000 0.0000  4 Nd 2.71
10 Er 0.5000 0.5000 0.5000  4 Nd 2.71
11 Sb 0.0000 0.0000 0.3671  1 Nd 3.11
12 Sb 0.0000 0.0000 0.6329  1 Nd 3.11
13 Sb 0.5000 0.5000 0.1329  1 Nd 3.11
14 Sb 0.5000 0.5000 0.8671  1 Nd 3.11

Calculated values
Total magnetization   0.00 μB/f.u.
Uncorrected formation energy   0.094 eV per atom



Compound: YAsP3
Source: Alexandria via LeMat-Bulk
Functional: PBE
Structure: optimized geometry

a = 4.7226 Å, b = 4.7226 Å, c = 4.7226 Å
α = 90.00°, β = 90.00°, γ = 90.00°
Last column: nearest neighbours and their distance in Å.
Fractional positions:
1 Y 0.0000 0.0000 0.0000  12 P 3.34
2 As 0.5000 0.5000 0.5000  6 P 2.36
3 P 0.0000 0.5000 0.5000  2 As 2.36
4 P 0.5000 0.0000 0.5000  2 As 2.36
5 P 0.5000 0.5000 0.0000  2 As 2.36

Calculated values
Total magnetization   0.00 μB/f.u.
ΔE to the lowest computed polymorph   0 meV per atom
ΔE_f   179 meV/atom



Compound: ErTmPu2S4
Source: Alexandria via LeMat-Bulk
Functional: PBE
Structure: optimized geometry

a = 6.7339 Å, b = 3.8881 Å, c = 6.8112 Å
α = 90.00°, β = 109.24°, γ = 90.00°
Last column: nearest neighbours and their distance in Å.
Fractional positions:
1 Er 0.0000 0.0000 0.0000  6 S 2.73
2 Tm 0.5000 0.5000 0.0000  6 S 2.73
3 Pu 0.0000 0.5000 0.5000  6 S 2.80
4 Pu 0.5000 0.0000 0.5000  6 S 2.79
5 S 0.2482 0.5000 0.2419  1 Tm 2.73, 2 Er 2.73, 3 Pu 2.79-2.80
6 S 0.2539 0.0000 0.7588  2 Tm 2.73, 1 Er 2.73, 3 Pu 2.79-2.80
7 S 0.7461 0.0000 0.2412  2 Tm 2.73, 1 Er 2.73, 3 Pu 2.79-2.80
8 S 0.7518 0.5000 0.7581  1 Tm 2.73, 2 Er 2.73, 3 Pu 2.79-2.80

Calculated values
Total magnetization   11.47 μB/f.u.
Uncorrected formation energy   -1.889 eV per atom



Compound: AcHfTh2
Source: Alexandria via LeMat-Bulk
Functional: PBE
Structure: optimized geometry

a = 3.5933 Å, b = 3.5933 Å, c = 9.9313 Å
α = 90.00°, β = 90.00°, γ = 90.00°
Last column: nearest neighbours and their distance in Å.
Fractional positions:
1 Ac 0.0000 0.0000 0.0000  4 Ac 3.59, 8 Th 3.76
2 Hf 0.0000 0.0000 0.5000  8 Th 3.36, 4 Hf 3.59
3 Th 0.5000 0.5000 0.2789  4 Hf 3.36, 4 Th 3.59, 4 Ac 3.76
4 Th 0.5000 0.5000 0.7211  4 Hf 3.36, 4 Th 3.59, 4 Ac 3.76

Calculated values
Total magnetization   0.00 μB/f.u.
ΔE to the lowest computed polymorph   0 meV per atom
ΔE_f   185 meV/atom